Entry 1:
Computed, not measured: an optimized crystal structure of CaMn2ReP at the PBE-GGA level of DFT.

Lattice parameters (Å, degrees): 4.8990 4.5406 4.8990 90.00 90.00 90.00
Last column: nearest neighbours and their distance in Å.
Sites, in units of the cell vectors:
Re1 0.0000 0.0000 0.0000  2 P 2.27, 4 Mn 2.45
Ca1 0.5000 0.5000 0.5000  8 Mn 3.34, 4 P 3.46
P1 0.0000 0.5000 0.0000  2 Re 2.27
Mn1 0.0000 0.0000 0.5000  2 Re 2.45
Mn2 0.5000 0.0000 0.0000  2 Re 2.45

calculated total energy: -7.24 eV per atom
distance to the lowest polymorph of the same formula: 0 meV per atom
calculated formation energy: 395 meV per atom
M_tot: 7.914 μB/f.u.



Entry 2:
Computed, not measured: an optimized crystal structure of Ca2Ga2Ir at the PBE-GGA level of DFT.

Lattice parameters (Å, degrees): 6.7338 6.7338 4.7475 90.00 90.00 90.00
Last column: nearest neighbours and their distance in Å.
Sites, in units of the cell vectors:
Ca1 0.3175 0.1825 0.5000  6 Ga 2.94-3.21
Ga1 0.3643 0.8643 0.0000  1 Ga 2.58, 2 Ir 2.62
Ga2 0.6357 0.1357 0.0000  1 Ga 2.58, 2 Ir 2.62
Ga3 0.8643 0.6357 0.0000  1 Ga 2.58, 2 Ir 2.62
Ir1 0.5000 0.5000 0.0000  4 Ga 2.62
Ir2 0.0000 0.0000 0.0000  4 Ga 2.62
Ca2 0.8175 0.3175 0.5000  6 Ga 2.94-3.21
Ca3 0.6825 0.8175 0.5000  6 Ga 2.94-3.21
Ga4 0.1357 0.3643 0.0000  1 Ga 2.58, 2 Ir 2.62
Ca4 0.1825 0.6825 0.5000  6 Ga 2.94-3.21

calculated total energy: -4.20 eV per atom
distance to the lowest polymorph of the same formula: 148 meV per atom
calculated formation energy: -415 meV per atom
M_tot: 0.000 μB/f.u.



Entry 3:
Computed, not measured: an optimized crystal structure of TcPbBr3 at the PBE-GGA level of DFT.

Lattice parameters (Å, degrees): 5.1942 5.1942 5.1942 90.00 90.00 90.00
Last column: nearest neighbours and their distance in Å.
Sites, in units of the cell vectors:
Pb1 0.5000 0.5000 0.5000  12 Br 3.67
Br1 0.5000 0.0000 0.0000  2 Tc 2.60
Br2 0.0000 0.5000 0.0000  2 Tc 2.60
Br3 0.0000 0.0000 0.5000  2 Tc 2.60
Tc1 0.0000 0.0000 0.0000  6 Br 2.60

calculated total energy: -3.70 eV per atom
distance to the lowest polymorph of the same formula: 0 meV per atom
formation energy (no corrections): 116 meV/atom
M_tot: 2.093 μB/f.u.



Entry 4:
Computed, not measured: an optimized crystal structure of PmMgAlSn at the PBE-GGA level of DFT.

Lattice parameters (Å, degrees): 5.1901 5.1901 5.1901 60.00 60.00 60.00
Last column: nearest neighbours and their distance in Å.
Sites, in units of the cell vectors:
Sn1 0.2500 0.2500 0.2500  4 Mg 3.18, 4 Pm 3.18
Mg1 0.5000 0.5000 0.5000  4 Al 3.18, 4 Sn 3.18
Pm1 0.0000 0.0000 0.0000  4 Sn 3.18, 4 Al 3.18
Al1 0.7500 0.7500 0.7500  4 Mg 3.18, 4 Pm 3.18

calculated total energy: -3.73 eV per atom
distance to the lowest polymorph of the same formula: 228 meV per atom
calculated formation energy: -210 meV per atom
M_tot: 0.000 μB/f.u.



Entry 5:
Computed, not measured: an optimized crystal structure of LaCe2Hf at the PBE-GGA level of DFT.

Lattice parameters (Å, degrees): 4.9463 4.7530 4.7530 90.00 90.00 90.00
Last column: nearest neighbours and their distance in Å.
Sites, in units of the cell vectors:
Ce1 0.0000 0.0000 0.5000  4 Ce 3.36, 4 Hf 3.43, 4 La 3.43
La1 0.5000 0.5000 0.5000  4 Hf 3.36, 8 Ce 3.43
Ce2 0.0000 0.5000 0.0000  4 Ce 3.36, 4 Hf 3.43, 4 La 3.43
Hf1 0.5000 0.0000 0.0000  4 La 3.36, 8 Ce 3.43

calculated total energy: -6.49 eV per atom
distance to the lowest polymorph of the same formula: 56 meV per atom
calculated formation energy: 194 meV per atom
M_tot: 0.001 μB/f.u.



Entry 6:
Computed, not measured: an optimized crystal structure of LiNd3Er2Se6 at the PBE-GGA level of DFT.

Lattice parameters (Å, degrees): 7.0852 7.0852 7.2296 99.43 99.43 120.11
Last column: nearest neighbours and their distance in Å.
Sites, in units of the cell vectors:
Se1 0.7502 0.7502 0.2278  1 Li 2.78, 2 Er 2.84, 3 Nd 2.98-3.05
Er1 0.6654 0.3346 0.0000  6 Se 2.84-2.86
Se2 0.5961 0.9237 0.7697  1 Li 2.80, 2 Er 2.86, 3 Nd 2.98-3.03
Se3 0.9237 0.5961 0.7697  1 Li 2.80, 2 Er 2.86, 3 Nd 2.98-3.03
Li1 0.0000 0.0000 0.0000  6 Se 2.78-2.80
Nd1 0.5000 0.5000 0.5000  6 Se 2.98-3.05
Nd2 0.1659 0.8341 0.5000  6 Se 2.98-3.03
Se4 0.2498 0.2498 0.7722  1 Li 2.78, 2 Er 2.84, 3 Nd 2.98-3.05
Se5 0.4039 0.0763 0.2303  1 Li 2.80, 2 Er 2.86, 3 Nd 2.98-3.03
Nd3 0.8341 0.1659 0.5000  6 Se 2.98-3.03
Er2 0.3346 0.6654 0.0000  6 Se 2.84-2.86
Se6 0.0763 0.4039 0.2303  1 Li 2.80, 2 Er 2.86, 3 Nd 2.98-3.03

calculated total energy: -5.62 eV per atom
formation energy (no corrections): -1767 meV/atom
M_tot: 0.000 μB/f.u.



Entry 7:
Computed, not measured: an optimized crystal structure of MgHgIrN2 at the PBE-GGA level of DFT.

Lattice parameters (Å, degrees): 3.8019 6.3876 3.8019 90.00 90.00 90.00
Last column: nearest neighbours and their distance in Å.
Sites, in units of the cell vectors:
N1 0.0000 0.0000 0.5000  2 Ir 1.90
N2 0.5000 0.0000 0.0000  2 Ir 1.90
Mg1 0.5000 0.5000 0.5000  4 Hg 2.69
Hg1 0.0000 0.5000 0.0000  4 Mg 2.69
Ir1 0.0000 0.0000 0.0000  4 N 1.90

calculated total energy: -4.79 eV per atom
formation energy (no corrections): 689 meV/atom
M_tot: 0.013 μB/f.u.



Entry 8:
Computed, not measured: an optimized crystal structure of TbCeHo2Bi4 at the PBE-GGA level of DFT.

Lattice parameters (Å, degrees): 4.5100 7.7962 7.8024 70.53 90.00 90.00
Last column: nearest neighbours and their distance in Å.
Sites, in units of the cell vectors:
Bi1 0.0000 0.7559 0.7456  3 Ho 3.15-3.18, 1 Tb 3.19, 2 Ce 3.22
Bi2 0.5000 0.7539 0.2508  3 Ho 3.15-3.18, 2 Tb 3.20, 1 Ce 3.21
Tb1 0.0000 0.5000 0.5000  6 Bi 3.19-3.20
Ho1 0.5000 0.0000 0.5000  6 Bi 3.15
Ce1 0.5000 0.5000 0.0000  6 Bi 3.21-3.22
Ho2 0.0000 0.0000 0.0000  6 Bi 3.18
Bi3 0.0000 0.2441 0.2544  3 Ho 3.15-3.18, 1 Tb 3.19, 2 Ce 3.22
Bi4 0.5000 0.2461 0.7492  3 Ho 3.15-3.18, 2 Tb 3.20, 1 Ce 3.21

calculated total energy: -5.24 eV per atom
calculated formation energy: -835 meV per atom
M_tot: 0.797 μB/f.u.



Entry 9:
Computed, not measured: an optimized crystal structure of YZn2FeMo at the PBE-GGA level of DFT.

Lattice parameters (Å, degrees): 4.8886 5.0106 4.8886 90.00 90.00 90.00
Last column: nearest neighbours and their distance in Å.
Sites, in units of the cell vectors:
Fe1 0.5000 0.5000 0.5000  4 Y 3.46, 8 Zn 3.50
Mo1 0.0000 0.0000 0.0000  4 Zn 2.44, 2 Y 2.51
Zn1 0.0000 0.0000 0.5000  2 Mo 2.44
Y1 0.0000 0.5000 0.0000  2 Mo 2.51
Zn2 0.5000 0.0000 0.0000  2 Mo 2.44

calculated total energy: -4.21 eV per atom
distance to the lowest polymorph of the same formula: 0 meV per atom
calculated formation energy: 1456 meV per atom
M_tot: 0.218 μB/f.u.



Entry 10:
Computed, not measured: an optimized crystal structure of HoPu2Mn2 at the PBE-GGA level of DFT.

Lattice parameters (Å, degrees): 4.2672 4.2672 6.4121 73.38 73.38 89.43
Last column: nearest neighbours and their distance in Å.
Sites, in units of the cell vectors:
Ho1 0.0000 0.0000 0.0000  8 Mn 3.21-3.36, 4 Pu 3.52
Pu1 0.2439 0.7561 0.5000  4 Mn 2.58-2.88
Mn1 0.4224 0.4224 0.2138  1 Mn 2.51, 2 Pu 2.58
Pu2 0.7561 0.2439 0.5000  4 Mn 2.58-2.88
Mn2 0.5776 0.5776 0.7862  1 Mn 2.51, 2 Pu 2.58

calculated total energy: -10.11 eV per atom
calculated formation energy: 207 meV per atom
M_tot: 6.226 μB/f.u.



Entry 11:
Computed, not measured: an optimized crystal structure of LiHo3Te3 at the PBE-GGA level of DFT.

Lattice parameters (Å, degrees): 8.7460 8.7460 7.9129 56.45 56.45 60.00
Last column: nearest neighbours and their distance in Å.
Sites, in units of the cell vectors:
Te1 0.3019 0.5095 0.2525  2 Li 2.92-3.27, 4 Ho 3.01-3.11
Ho1 0.6727 0.1711 0.2470  5 Te 3.01-3.30
Te2 0.0639 0.6981 0.7475  2 Li 2.92-3.27, 4 Ho 3.01-3.11
Te3 0.4905 0.0639 0.7475  2 Li 2.92-3.27, 4 Ho 3.01-3.11
Li1 0.3279 0.3279 0.0164  6 Te 2.92-3.27
Ho2 0.8289 0.0909 0.7530  5 Te 3.01-3.30
Te4 0.9361 0.3019 0.2525  2 Li 2.92-3.27, 4 Ho 3.01-3.11
Li2 0.6721 0.6721 0.9836  6 Te 2.92-3.27
Te5 0.6981 0.4905 0.7475  2 Li 2.92-3.27, 4 Ho 3.01-3.11
Ho3 0.0909 0.3273 0.7530  5 Te 3.01-3.30
Ho4 0.3273 0.8289 0.7530  5 Te 3.01-3.30
Ho5 0.9091 0.6727 0.2470  5 Te 3.01-3.30
Te6 0.5095 0.9361 0.2525  2 Li 2.92-3.27, 4 Ho 3.01-3.11
Ho6 0.1711 0.9091 0.2470  5 Te 3.01-3.30

calculated total energy: -4.54 eV per atom
formation energy (no corrections): -956 meV/atom
M_tot: 0.000 μB/f.u.



Entry 12:
Computed, not measured: an optimized crystal structure of NaP2PbCl at the PBE-GGA level of DFT.

Lattice parameters (Å, degrees): 5.4574 5.4574 5.8517 90.00 90.00 90.00
Last column: nearest neighbours and their distance in Å.
Sites, in units of the cell vectors:
P1 0.5000 0.0000 0.0000  2 Pb 2.73
Cl1 0.0000 0.0000 0.5000  2 Pb 2.93
P2 0.0000 0.5000 0.0000  2 Pb 2.73
Na1 0.5000 0.5000 0.5000  4 Cl 3.86, 8 P 4.00
Pb1 0.0000 0.0000 0.0000  4 P 2.73, 2 Cl 2.93

calculated total energy: -3.19 eV per atom
distance to the lowest polymorph of the same formula: 0 meV per atom
formation energy (no corrections): 352 meV/atom
M_tot: 1.902 μB/f.u.



Question: What is the M_tot in the tenth record?
Answer: 6.226 μB/f.u.



Question: Which value of calculated total energy does entry 6 give?
Answer: -5.62 eV per atom



Question: Which of these has the lowest calculated total energy?
Answer: HoPu2Mn2



Question: Which value of calculated total energy does entry 2 give?
Answer: -4.20 eV per atom